Model i:
DFT (PBE) results for Tb2ErIn after structural relaxation.

Values from the calculation:
Symmetry   P4/mmm
Magnetization   0.015 Bohr magnetons per cell

Unit cell a=4.8433 b=4.8430 c=4.8430 alpha=90.00 beta=90.00 gamma=90.00
Sites, in units of the cell vectors:
Tb  0.0000  0.0000  0.5000
Er  0.5000  0.5000  0.5000
In  0.5000  0.0000  0.0000
Tb  0.0000  0.5000  0.0000

=====

Model ii:
DFT (PBE) results for Tb2ErIn after structural relaxation.

Values from the calculation:
Symmetry   P4/mmm
Magnetization   0.000 Bohr magnetons per cell

Unit cell a=3.5670 b=3.5670 c=9.2695 alpha=90.00 beta=90.00 gamma=90.00
Sites, in units of the cell vectors:
Tb  0.0000  0.0000  0.7710
Tb  0.0000  0.0000  0.2290
In  0.5000  0.5000  0.0000
Er  0.5000  0.5000  0.5000

=====

Model iii:
DFT (PBE) results for Tb2ErIn after structural relaxation.

Values from the calculation:
Symmetry   R3m
Magnetization   0.513 Bohr magnetons per cell

Unit cell a=3.5913 b=3.5913 c=11.0337 alpha=80.63 beta=80.63 gamma=60.00
Site moments in Bohr magnetons follow the coordinates.
Sites, in units of the cell vectors:
Tb  0.2545  0.2545  0.2366  0.05
Tb  0.0790  0.0790  0.7629  0.11
In  0.6665  0.6665  0.0006  0.00
Er  0.5001  0.5001  0.4998  0.23

=====

So which one wins? Going from most stable to least: model i, model ii, model iii.

=====

Model i:
DFT (PBE) results for Tb6ErIn2 after structural relaxation.

Values from the calculation:
Symmetry   I-42m
Magnetization   0.001 Bohr magnetons per cell

Unit cell a=6.2486 b=6.2486 c=8.8428 alpha=110.69 beta=110.69 gamma=90.00
Sites, in units of the cell vectors:
Tb  0.7500  0.2500  0.5000
Tb  0.0889  0.0889  0.8237
Tb  0.2652  0.9111  0.1763
In  0.7097  0.7097  0.4194
Er  0.5000  0.5000  0.0000
In  0.2903  0.2903  0.5806
Tb  0.9111  0.2652  0.1763
Tb  0.2500  0.7500  0.5000
Tb  0.7348  0.7348  0.8237

=====

Model ii:
DFT (PBE) results for Tb6ErIn2 after structural relaxation.

Values from the calculation:
Symmetry   C2/m
Magnetization   0.001 Bohr magnetons per cell

Unit cell a=4.7683 b=5.9927 c=10.4110 alpha=73.83 beta=76.76 gamma=66.56
Sites, in units of the cell vectors:
Tb  0.3290  0.4517  0.8903
Tb  0.9927  0.3408  0.6738
In  0.6596  0.8969  0.7840
Tb  0.6710  0.5483  0.1097
Tb  0.6712  0.2114  0.4461
In  0.3404  0.1031  0.2160
Tb  0.0073  0.6592  0.3262
Er  0.0000  0.0000  0.0000
Tb  0.3288  0.7886  0.5539

=====

So which one wins? Going from most stable to least: model ii, model i.

=====

Model i:
DFT (PBE) results for Tb3ErIn after structural relaxation.

Values from the calculation:
Symmetry   Cmcm
Magnetization   0.000 Bohr magnetons per cell

Unit cell a=5.8797 b=8.7960 c=6.8133 alpha=90.00 beta=115.56 gamma=90.00
Sites, in units of the cell vectors:
Er  0.4275  0.7500  0.8550
Tb  0.1751  0.5685  0.3502
Tb  0.8249  0.0685  0.6498
Tb  0.0638  0.2500  0.1276
In  0.3216  0.2500  0.6433
Er  0.5725  0.2500  0.1450
Tb  0.8249  0.4315  0.6498
In  0.6784  0.7500  0.3567
Tb  0.1751  0.9315  0.3502
Tb  0.9362  0.7500  0.8724

=====

Model ii:
DFT (PBE) results for Tb3ErIn after structural relaxation.

Values from the calculation:
Symmetry   Cmcm
Magnetization   0.001 Bohr magnetons per cell

Unit cell a=4.8236 b=4.8248 c=12.7517 alpha=90.00 beta=79.10 gamma=90.00
Sites, in units of the cell vectors:
In  0.6716  0.7500  0.3053
Tb  0.8767  0.7500  0.8949
In  0.9768  0.2500  0.6947
Tb  0.7716  0.2500  0.1051
Tb  0.0745  0.7500  0.4993
Er  0.4743  0.7500  0.6997
Tb  0.5738  0.2500  0.5007
Tb  0.3748  0.2500  0.8987
Tb  0.2735  0.7500  0.1013
Er  0.1740  0.2500  0.3003

=====

So which one wins? Going from most stable to least: model ii, model i.